No. 1
Here is a geometry-optimized Sm8ErTm6 structure from Alexandria via LeMat-Bulk. Energies are from GGA-PBE.

Structure (POSCAR):
```
Sm8ErTm6
1.0
6.468 0.000 0.000
0.000 8.090 -4.671
0.000 0.000 9.342
Er Tm Sm
1 6 8
Direct
0.500 0.000 0.000
0.340 0.345 0.905
0.660 0.440 0.345
0.660 0.655 0.095
0.660 0.905 0.560
0.340 0.560 0.655
0.340 0.095 0.440
0.168 0.752 0.037
0.123 0.667 0.333
0.832 0.037 0.286
0.168 0.963 0.714
0.168 0.286 0.248
0.877 0.333 0.667
0.832 0.714 0.752
0.832 0.248 0.963
```

---

No. 2
Here is a geometry-optimized Sm6ErTm4 structure from Alexandria via LeMat-Bulk. Energies are from GGA-PBE.

Structure (POSCAR):
```
Sm6ErTm4
1.0
-5.922 -2.843 -0.654
0.981 -3.334 5.612
-1.073 9.457 1.923
Er Sm Tm
1 6 4
Direct
0.500 0.500 0.000
0.487 0.864 0.351
0.513 0.513 0.649
0.136 0.136 0.649
0.864 0.487 0.351
0.500 0.000 0.000
0.000 0.500 0.000
0.948 0.948 0.255
0.693 0.052 0.745
0.307 0.307 0.255
0.052 0.693 0.745
```

---

Taking the records one at a time from the top gives Fermi-level density of states values of 22.64, 16.39 states/eV/f.u..
Taking the records one at a time from the top gives total energy values of -66.426, -47.376 eV per cell.
Taking the records one at a time from the top gives ΔE_f values of 0.181, 0.308 eV/atom.